Version w
Crystalline ScInTe2I at its relaxed geometry. Source: Alexandria, functional PBE.

As for the total moment: 0.00 μB per atom. The density of states at the Fermi level is 4.5 states/eV per cell.

It has space group P4/mmm (No. 123), with a = 5.570 Å, b = 5.570 Å, c = 5.940 Å, α = 90.00°, β = 90.00° and γ = 90.00°. The inequivalent atoms are Sc at (0.000, 0.000, 0.000), In at (0.500, 0.500, 0.500), Te at (0.000, 0.500, 0.000) and I at (0.000, 0.000, 0.500).

Version x
Crystalline ScInTe2I at its relaxed geometry. Source: Alexandria, functional PBE.

As for the total moment: 0.13 μB per atom. The density of states at the Fermi level is 5.4 states/eV per cell.

It has space group P4/mmm (No. 123), with a = 5.685 Å, b = 5.685 Å, c = 5.702 Å, α = 90.00°, β = 90.00° and γ = 90.00°. The inequivalent atoms are Sc at (0.000, 0.000, 0.000), In at (0.500, 0.500, 0.500), Te at (0.000, 0.500, 0.500) and I at (0.500, 0.500, 0.000).

Which of them is most stable? Easy: version w.